This record from Alexandria describes crystalline HoLu2Tl at its relaxed geometry. The functional is GGA-PBE.

Geometry as POSCAR:
```
HoLu2Tl
1.0
-1.052 -2.219 -2.491
-0.447 -3.388 0.750
-10.860 0.082 2.055
Tl Lu Ho
1 2 1
Direct
0.000 0.000 0.000 Tl
0.253 0.253 0.240 Lu
0.747 0.747 0.760 Lu
0.500 0.500 0.500 Ho
```

Theoretical density (g cm⁻³): 10.4
Uncorrected energy (eV for the cell shown): -16.4
Space group: No. 166
Distance to the lowest polymorph of the same formula (meV/atom): 59
Energy of formation (eV per atom): -0.1017